VASP calculation (PBE) on TlCoSb after structural relaxation.

Cell: 3.4896 3.4896 6.1986 Å, 90.00 90.00 120.00°
Space group P3m1 (No. 156)
Inequivalent atoms, fractional coordinates:
Tl (0.0000, 0.0000, 0.0000) [1 per cell]
Co (0.6667, 0.3333, 0.3081) [1 per cell]
Sb (0.3333, 0.6667, 0.5470) [1 per cell]

Results
Total DFT energy (no corrections) in eV/atom: -4.3022
D(E_F) in states/eV/cell: 2.542

---

VASP calculation (PBE) on Tl2CoSb after structural relaxation.

Cell: 7.337 7.337 7.337 Å, 90.00 90.00 90.00°
Space group Fm-3m (No. 225)
Inequivalent atoms, fractional coordinates:
Tl (0.250, 0.250, 0.250) [8 per cell]
Co (0.000, 0.000, 0.000) [4 per cell]
Sb (0.000, 0.000, 0.500) [4 per cell]

Results
Distance to the lowest polymorph of the same formula in eV per atom: 0.4970
Total DFT energy (no corrections) in eV/atom: -3.3384
D(E_F) in states/eV/cell: 20.569

---

VASP calculation (PBE) on TlCo2Sb2 after structural relaxation.

Cell: 7.766 7.766 3.162 Å, 90.00 90.00 90.00°
Space group P4/mbm (No. 127)
Inequivalent atoms, fractional coordinates:
Tl (0.000, 0.000, 0.000) [2 per cell]
Co (0.127, 0.373, 0.000) [4 per cell]
Sb (0.150, 0.650, 0.500) [4 per cell]

Results
Total DFT energy (no corrections) in eV/atom: -4.6913
D(E_F) in states/eV/cell: 7.913

---

VASP calculation (PBE) on Tl2CoSb after structural relaxation.

Cell: 3.4302 3.4302 27.6113 Å, 90.00 90.00 120.00°
Space group R-3m (No. 166, hexagonal axes)
Inequivalent atoms, fractional coordinates:
Tl (0.0000, 0.0000, 0.2344) [6 per cell]
Co (0.0000, 0.0000, 0.5000) [3 per cell]
Sb (0.0000, 0.0000, 0.0000) [3 per cell]

Results
Distance to the lowest polymorph of the same formula in eV per atom: 0.3243
Total DFT energy (no corrections) in eV/atom: -3.5111
D(E_F) in states/eV/cell: 11.877

---

VASP calculation (PBE) on Tl2Co2Sb after structural relaxation.

Cell: 6.773 6.773 4.337 Å, 90.00 90.00 90.00°
Space group P4/mbm (No. 127)
Inequivalent atoms, fractional coordinates:
Tl (0.167, 0.333, 0.000) [4 per cell]
Co (0.130, 0.630, 0.500) [4 per cell]
Sb (0.000, 0.000, 0.500) [2 per cell]

Results
Distance to the lowest polymorph of the same formula in eV per atom: 0.0000
Total DFT energy (no corrections) in eV/atom: -4.1908
D(E_F) in states/eV/cell: 9.519

---

VASP calculation (PBE) on Tm4CoSb after structural relaxation.

Cell: 15.057 6.043 7.235 Å, 90.00 107.74 90.00°
Space group C2/c (No. 15)
Inequivalent atoms, fractional coordinates:
Tm (0.087, 0.113, 0.456) [8 per cell]
Tm (0.183, 0.405, 0.149) [8 per cell]
Co (0.250, 0.250, 0.500) [4 per cell]
Sb (0.000, 0.365, 0.750) [4 per cell]

Results
Distance to the lowest polymorph of the same formula in eV per atom: 0.1134
Total DFT energy (no corrections) in eV/atom: -5.2203
D(E_F) in states/eV/cell: 18.329

---

VASP calculation (PBE) on Tm7Co2Sb2 after structural relaxation.

Cell: 3.642 15.777 9.591 Å, 90.00 90.00 90.00°
Space group Imm2 (No. 44)
Inequivalent atoms, fractional coordinates:
Tm (0.000, 0.000, 0.000) [2 per cell]
Tm (0.000, 0.132, 0.434) [4 per cell]
Tm (0.000, 0.316, 0.631) [4 per cell]
Tm (0.000, 0.347, 0.281) [4 per cell]
Co (0.000, 0.239, 0.940) [4 per cell]
Sb (0.000, 0.000, 0.676) [2 per cell]
Sb (0.000, 0.500, 0.766) [2 per cell]

Results
Total DFT energy (no corrections) in eV/atom: -5.3691
D(E_F) in states/eV/cell: 19.727

---

VASP calculation (PBE) on Tm5CoSb after structural relaxation.

Cell: 11.562 8.424 9.249 Å, 90.00 107.93 90.00°
Space group C2/c (No. 15)
Inequivalent atoms, fractional coordinates:
Tm (0.000, 0.097, 0.250) [4 per cell]
Tm (0.090, 0.276, 0.971) [8 per cell]
Tm (0.220, 0.105, 0.644) [8 per cell]
Co (0.000, 0.000, 0.000) [4 per cell]
Sb (0.000, 0.451, 0.250) [4 per cell]

Results
Total DFT energy (no corrections) in eV/atom: -4.9715
D(E_F) in states/eV/cell: 24.625

---

D(E_F) of number 1 (TlCoSb)? 2.542 states/eV/cell